A plane-wave DFT calculation with PBE was carried out for a geometry-optimized Re2MoOs structure.

The volume comes out at 205.6 Å³ per cell. The value obtained for the formation energy is 0.48 eV/atom. As for the density of states at the Fermi level: 0.8992 states/eV/atom. Its size of the total moment is 0.0000 μB per atom. The energy above the lowest structure with this stoichiometry comes out at 45.0 kJ/mol of atoms.

The space group is R3m (No. 160, hexagonal axes) and the conventional cell measures 4.2745, 4.2745 and 12.9923 Å, with angles of 90.00, 90.00 and 120.00 degrees. The inequivalent atoms are Re at (0.0000, 0.0000, 0.0000), Re at (0.0000, 0.0000, 0.1951), Mo at (0.0000, 0.0000, 0.4049) and Os at (0.0000, 0.0000, 0.5993).

A plane-wave DFT calculation with PBE was carried out for a geometry-optimized ReMo2Os2 structure.

The volume comes out at 156.9 Å³ per cell. The value obtained for the formation energy is 0.32 eV/atom. As for the density of states at the Fermi level: 1.0866 states/eV/atom. Its size of the total moment is 0.0000 μB per atom. The energy above the lowest structure with this stoichiometry comes out at 0.0 kJ/mol of atoms.

The space group is P4/mbm (No. 127) and the conventional cell measures 7.4018, 7.4018 and 2.8643 Å, with angles of 90.00, 90.00 and 90.00 degrees. The inequivalent atoms are Re at (0.0000, 0.0000, 0.0000), Mo at (0.1688, 0.3312, 0.5000) and Os at (0.1300, 0.6300, 0.0000).